[1]
An optimized crystal structure of CdSbC2. Source: the Alexandria database, functional PBE-GGA.

- V (Å³ per atom) = 16.9
- ΔE to the lowest computed polymorph (meV/atom) = 0.0
- symmetry = No. 122

a b c (Å): 6.1840 6.1840 6.1840
angles (deg): 130.12 130.12 73.21
Atoms (fractional coordinates):
Cd: 0.0000 0.0000 0.0000
Cd: 0.7500 0.2500 0.5000
Sb: 0.2500 0.7500 0.5000
Sb: 0.5000 0.5000 0.0000
C: 0.1492 0.6250 0.0242
C: 0.3750 0.3992 0.5242
C: 0.6008 0.1250 0.9758
C: 0.8750 0.8508 0.4758



[2]
An optimized crystal structure of Mg7Cd3Ag2. Source: the Alexandria database, functional PBE-GGA.

- V (Å³ per atom) = 22.7
- formation energy (eV per atom) = 0.004
- symmetry = No. 65

a b c (Å): 12.1037 12.1037 4.7811
angles (deg): 90.00 90.00 157.10
Atoms (fractional coordinates):
Mg: 0.0000 0.0000 0.0000
Mg: 0.0831 0.9169 0.5000
Mg: 0.2803 0.7197 0.0000
Mg: 0.4178 0.5822 0.0000
Mg: 0.5822 0.4178 0.0000
Mg: 0.7197 0.2803 0.0000
Mg: 0.9169 0.0831 0.5000
Cd: 0.3433 0.6567 0.5000
Cd: 0.5000 0.5000 0.5000
Cd: 0.6567 0.3433 0.5000
Ag: 0.1538 0.8462 0.0000
Ag: 0.8462 0.1538 0.0000



[3]
An optimized crystal structure of ScBe2Al. Source: the Alexandria database, functional PBE-GGA.

- V (Å³ per atom) = 16.7
- formation energy (eV per atom) = 0.225
- symmetry = No. 141

a b c (Å): 8.3614 8.3614 8.3614
angles (deg): 151.43 151.43 40.84
Atoms (fractional coordinates):
Sc: 0.3750 0.6250 0.7500
Sc: 0.6250 0.3750 0.2500
Be: 0.0000 0.0000 0.0000
Be: 0.0000 0.0000 0.5000
Be: 0.0000 0.5000 0.0000
Be: 0.5000 0.0000 0.5000
Al: 0.1250 0.8750 0.2500
Al: 0.8750 0.1250 0.7500



[4]
An optimized crystal structure of AuCl2. Source: the Alexandria database, functional PBE-GGA.

- V (Å³ per atom) = 22.3
- total DFT energy (no corrections) (eV per formula unit) = -6.3
- symmetry = No. 140

a b c (Å): 5.5802 5.5802 5.5802
angles (deg): 109.78 109.78 108.86
Atoms (fractional coordinates):
Au: 0.2500 0.2500 0.0000
Au: 0.7500 0.7500 0.0000
Cl: 0.2332 0.7332 0.9664
Cl: 0.2668 0.2332 0.5000
Cl: 0.7332 0.7668 0.5000
Cl: 0.7668 0.2668 0.0336



[5]
An optimized crystal structure of La4ScCu. Source: the Alexandria database, functional PBE-GGA.

- V (Å³ per atom) = 32.0
- formation energy (eV per atom) = 0.551
- symmetry = No. 216

a b c (Å): 6.4773 6.4773 6.4773
angles (deg): 60.00 60.00 60.00
Atoms (fractional coordinates):
La: 0.1245 0.1245 0.1245
La: 0.1245 0.1245 0.6265
La: 0.1245 0.6265 0.1245
La: 0.6265 0.1245 0.1245
Sc: 0.7500 0.7500 0.7500
Cu: 0.5000 0.5000 0.5000



[6]
An optimized crystal structure of LaScCd. Source: the Alexandria database, functional PBE-GGA.

- V (Å³ per atom) = 32.3
- ΔE to the lowest computed polymorph (meV/atom) = 306.2
- formation energy (eV per atom) = 0.133
- symmetry = No. 216

a b c (Å): 5.1566 5.1566 5.1566
angles (deg): 60.00 60.00 60.00
Atoms (fractional coordinates):
La: 0.0000 0.0000 0.0000
Sc: 0.5000 0.5000 0.5000
Cd: 0.7500 0.7500 0.7500



[7]
An optimized crystal structure of LaIrBr2. Source: the Alexandria database, functional PBE-GGA.

- V (Å³ per atom) = 31.3
- ΔE to the lowest computed polymorph (meV/atom) = 259.9
- symmetry = No. 71

a b c (Å): 7.8723 7.8723 7.8723
angles (deg): 150.79 148.13 43.77
Atoms (fractional coordinates):
La: 0.0000 0.0000 0.0000
Ir: 0.5000 0.5000 0.0000
Br: 0.3516 0.8516 0.5000
Br: 0.6484 0.1484 0.5000



[8]
An optimized crystal structure of LiTiZnF6. Source: the Alexandria database, functional PBE-GGA.

- V (Å³ per atom) = 12.1
- total DFT energy (no corrections) (eV per formula unit) = -47.9
- symmetry = No. 163

a b c (Å): 5.2704 5.2704 9.0446
angles (deg): 90.00 90.00 120.00
Atoms (fractional coordinates):
Li: 0.0000 0.0000 0.0000
Li: 0.0000 0.0000 0.5000
Ti: 0.3333 0.6667 0.2500
Ti: 0.6667 0.3333 0.7500
Zn: 0.3333 0.6667 0.7500
Zn: 0.6667 0.3333 0.2500
F: 0.0108 0.3491 0.1316
F: 0.0108 0.6617 0.3684
F: 0.3383 0.3491 0.3684
F: 0.3383 0.9892 0.1316
F: 0.3491 0.0108 0.6316
F: 0.3491 0.3383 0.8684
F: 0.6509 0.6617 0.1316
F: 0.6509 0.9892 0.3684
F: 0.6617 0.0108 0.8684
F: 0.6617 0.6509 0.6316
F: 0.9892 0.3383 0.6316
F: 0.9892 0.6509 0.8684